A plane-wave DFT calculation with PBE was carried out for Mn9Ga11Co4 after structural relaxation.

Its space group is Cmmm, No. 65. The formation energy is -94 meV per atom. The crystal system is orthorhombic.

Lattice parameters (Å, degrees): 2.740 10.811 10.811 99.24 90.00 90.00
Site moments in Bohr magnetons follow the coordinates.
Positions (direct):
Mn 0.500 0.633 0.135  2.76
Mn 0.500 0.367 0.865  2.76
Mn 0.500 0.135 0.633  2.76
Mn 0.500 0.865 0.367  2.76
Mn 0.500 0.787 0.949  2.53
Mn 0.500 0.213 0.051  2.53
Mn 0.500 0.949 0.787  2.53
Mn 0.500 0.051 0.213  2.53
Mn 0.500 0.500 0.500  3.26
Ga 0.000 0.582 0.923  -0.09
Ga 0.000 0.418 0.077  -0.09
Ga 0.000 0.923 0.582  -0.09
Ga 0.000 0.077 0.418  -0.09
Ga 0.000 0.643 0.357  -0.07
Ga 0.000 0.357 0.643  -0.07
Ga 0.000 0.838 0.162  -0.11
Ga 0.000 0.162 0.838  -0.11
Ga 0.000 0.000 0.000  -0.10
Ga 0.000 0.735 0.735  -0.07
Ga 0.000 0.265 0.265  -0.07
Co 0.500 0.544 0.732  0.40
Co 0.500 0.456 0.268  0.40
Co 0.500 0.732 0.544  0.40
Co 0.500 0.268 0.456  0.40